Pm5Al2Sn2: optimized geometry, PBE.

Computed properties:
- ΔH_f (0 K): -4.56 eV/f.u.
- Space-group type: Cmce, No. 64

The structure in POSCAR format:
```
Pm5Al2Sn2
1.0
-7.000 -2.629 -3.237
0.045 -6.456 5.145
-4.110 7.487 2.807
Pm Al Sn
10 4 4
direct
0.676 0.042 0.724
0.500 0.500 0.000
0.324 0.682 0.724
0.676 0.318 0.276
0.324 0.958 0.276
0.176 0.182 0.724
0.824 0.818 0.276
0.176 0.458 0.276
0.000 0.000 0.000
0.824 0.542 0.724
0.115 0.614 0.000
0.615 0.886 0.000
0.385 0.114 0.000
0.885 0.386 0.000
0.000 0.208 0.417
0.500 0.292 0.583
0.500 0.708 0.417
0.000 0.792 0.583
```

=====

UCo4P2: optimized geometry, PBE.

Computed properties:
- Energy relative to the lowest polymorph listed for this composition: 59.5 meV per atom
- ΔH_f (0 K): -3.86 eV/f.u.
- Space-group type: Pnma, No. 62

The structure in POSCAR format:
```
UCo4P2
1.0
-1.103 -1.167 3.395
1.549 -5.736 -1.468
14.232 2.445 5.464
Co U P
16 4 8
direct
0.750 0.757 0.796
0.250 0.485 0.432
0.250 0.672 0.683
0.750 0.870 0.472
0.750 0.328 0.317
0.750 0.743 0.296
0.750 0.515 0.568
0.750 0.630 0.972
0.250 0.015 0.932
0.250 0.828 0.183
0.250 0.130 0.528
0.750 0.985 0.068
0.250 0.243 0.204
0.750 0.172 0.817
0.250 0.370 0.028
0.250 0.257 0.704
0.250 0.005 0.360
0.750 0.995 0.640
0.750 0.505 0.140
0.250 0.495 0.860
0.750 0.266 0.462
0.250 0.766 0.038
0.250 0.541 0.288
0.250 0.734 0.538
0.750 0.459 0.712
0.750 0.041 0.212
0.750 0.234 0.962
0.250 0.959 0.788
```

=====

Ta2HgTe: optimized geometry, PBE.

Computed properties:
- Energy relative to the lowest polymorph listed for this composition: 20.0 meV per atom
- Space-group type: P4mm, No. 99
- Energy relative to the elements, uncorrected: 0.204 eV per atom

The structure in POSCAR format:
```
Ta2HgTe
1.0
3.459 0.000 0.000
0.000 3.459 0.000
0.000 0.000 7.485
Hg Ta Te
1 2 1
direct
0.500 0.500 0.799
0.000 0.000 0.034
0.500 0.500 0.226
0.000 0.000 0.440
```

=====

PrNd3YTm: optimized geometry, PBE.

Computed properties:
- ΔH_f (0 K): 1.07 eV/f.u.
- Space-group type: C2/m, No. 12

The structure in POSCAR format:
```
PrNd3YTm
1.0
-1.080 4.423 3.681
-8.042 0.159 -7.206
-3.454 -4.221 4.059
Nd Pr Y Tm
6 2 2 2
direct
0.517 0.035 0.752
0.220 0.441 0.281
0.483 0.965 0.248
0.780 0.559 0.719
0.841 0.681 0.241
0.159 0.319 0.759
0.649 0.298 0.027
0.351 0.702 0.973
0.941 0.882 0.735
0.059 0.118 0.265
0.360 0.720 0.519
0.640 0.280 0.481
```

=====

SrSc2Cl: optimized geometry, PBE.

Computed properties:
- Energy relative to the lowest polymorph listed for this composition: 309.7 meV per atom
- Space-group type: P4/mmm, No. 123
- Energy relative to the elements, uncorrected: -0.267 eV per atom

The structure in POSCAR format:
```
SrSc2Cl
1.0
-1.697 6.979 -0.745
-1.327 -0.740 -3.910
-3.856 -0.782 1.456
Cl Sr Sc
1 1 2
direct
0.500 0.000 0.500
0.500 0.500 0.000
0.000 0.500 0.500
0.000 0.000 0.000
```

=====

SnHgGe2Sb: optimized geometry, PBE.

Computed properties:
- Space-group type: P4/mmm, No. 123
- Energy relative to the elements, uncorrected: 0.711 eV per atom

The structure in POSCAR format:
```
SnHgGe2Sb
1.0
-3.642 -2.849 -2.683
-1.456 -2.413 4.539
-3.632 3.825 0.868
Sn Ge Hg Sb
1 2 1 1
direct
0.000 0.000 0.000
0.500 0.000 0.000
0.000 0.000 0.500
0.000 0.500 0.000
0.500 0.500 0.500
```

=====

YGeI2O: optimized geometry, PBE.

Computed properties:
- Energy relative to the lowest polymorph listed for this composition: 437.0 meV per atom
- Space-group type: P4/mmm, No. 123
- Energy relative to the elements, uncorrected: -0.494 eV per atom

The structure in POSCAR format:
```
YGeI2O
1.0
-3.717 -3.910 2.606
0.305 -3.517 -4.840
2.983 -1.826 1.515
I Y O Ge
2 1 1 1
direct
0.000 0.500 0.000
0.500 0.000 0.000
0.500 0.500 0.500
0.000 0.000 0.500
0.000 0.000 0.000
```

=====

Sr2LaMn: optimized geometry, PBE.

Computed properties:
- Energy relative to the lowest polymorph listed for this composition: 283.4 meV per atom
- ΔH_f (0 K): 2.11 eV/f.u.
- Space-group type: Cmmm, No. 65

The structure in POSCAR format:
```
Sr2LaMn
1.0
6.347 0.381 0.000
-2.363 5.903 0.000
0.000 0.000 3.919
Sr La Mn
2 1 1
direct
0.000 0.000 0.000
0.500 0.500 0.000
0.500 0.000 0.500
0.000 0.500 0.500
```

=====

Er2TiPd9: optimized geometry, PBE.

Computed properties:
- ΔH_f (0 K): -9.79 eV/f.u.
- Space-group type: P4/mmm, No. 123

The structure in POSCAR format:
```
Er2TiPd9
1.0
4.045 0.000 0.000
0.000 4.045 0.000
0.000 0.000 12.129
Pd Ti Er
9 1 2
direct
0.500 0.000 0.154
0.500 0.000 0.500
0.500 0.500 0.000
0.500 0.500 0.327
0.000 0.500 0.846
0.500 0.500 0.673
0.000 0.500 0.154
0.000 0.500 0.500
0.500 0.000 0.846
0.000 0.000 0.000
0.000 0.000 0.670
0.000 0.000 0.330
```

=====

AlCu2Sb: optimized geometry, PBE.

Computed properties:
- Energy relative to the lowest polymorph listed for this composition: 147.1 meV per atom
- Space-group type: Cmmm, No. 65
- Energy relative to the elements, uncorrected: 0.180 eV per atom

The structure in POSCAR format:
```
AlCu2Sb
1.0
4.825 -0.004 -0.039
-1.485 4.591 -0.039
0.024 0.033 3.022
Al Sb Cu
1 1 2
direct
0.000 0.500 0.500
0.500 0.000 0.500
0.500 0.500 0.000
0.000 0.000 0.000
```

=====

CeEr4Co4: optimized geometry, PBE.

Computed properties:
- ΔH_f (0 K): -1.60 eV/f.u.
- Space-group type: P4_2/n, No. 86

The structure in POSCAR format:
```
CeEr4Co4
1.0
5.664 0.000 0.000
0.000 8.115 0.000
0.000 0.000 8.115
Co Er Ce
8 8 2
direct
0.625 0.746 0.372
0.125 0.872 0.754
0.875 0.754 0.128
0.375 0.628 0.746
0.875 0.246 0.872
0.375 0.372 0.254
0.625 0.254 0.628
0.125 0.128 0.246
0.390 0.693 0.073
0.610 0.927 0.693
0.890 0.573 0.807
0.110 0.807 0.427
0.890 0.427 0.193
0.110 0.193 0.573
0.610 0.073 0.307
0.390 0.307 0.927
0.000 0.000 0.000
0.500 0.500 0.500
```

=====

HfPbO3: optimized geometry, PBE.

Computed properties:
- Space-group type: Pbam, No. 55
- Energy relative to the elements, uncorrected: -2.573 eV per atom

The structure in POSCAR format:
```
HfPbO3
1.0
-0.876 5.481 2.007
-5.835 1.157 -5.704
-8.135 -4.048 7.502
O Hf Pb
24 8 8
direct
0.210 0.000 0.598
0.475 0.778 0.759
0.975 0.778 0.741
0.500 0.730 0.500
0.525 0.222 0.241
0.475 0.222 0.759
0.000 0.290 0.500
0.500 0.270 0.500
0.975 0.222 0.741
0.769 0.500 0.347
0.525 0.778 0.241
0.790 0.000 0.402
0.269 0.500 0.153
0.231 0.500 0.653
0.710 0.000 0.902
0.000 0.270 0.000
0.500 0.710 0.000
0.500 0.290 0.000
0.025 0.222 0.259
0.000 0.730 0.000
0.290 0.000 0.098
0.731 0.500 0.847
0.025 0.778 0.259
0.000 0.710 0.500
0.242 0.750 0.124
0.242 0.250 0.124
0.258 0.750 0.624
0.742 0.750 0.376
0.758 0.750 0.876
0.258 0.250 0.624
0.742 0.250 0.376
0.758 0.250 0.876
0.292 0.000 0.870
0.708 0.000 0.130
0.204 0.500 0.375
0.208 0.000 0.370
0.792 0.000 0.630
0.796 0.500 0.625
0.296 0.500 0.875
0.704 0.500 0.125
```

=====

Number 1: final energy -0.358 Ry per atom. Number 2: final energy -0.571 Ry per atom. Number 3: final energy -0.484 Ry per atom. Number 4: final energy -0.355 Ry per atom. Number 5: final energy -0.317 Ry per atom. Number 6: final energy -0.207 Ry per atom. Number 7: final energy -0.318 Ry per atom. Number 8: final energy -0.282 Ry per atom. Number 9: final energy -0.450 Ry per atom. Number 10: final energy -0.282 Ry per atom. Number 11: final energy -0.443 Ry per atom. Number 12: final energy -0.609 Ry per atom.